# Rb2GeS4, optimized geometry, DFT PBE
data_Rb2GeS4
_chemical_formula_sum 'Rb4 Ge2 S8'
_cell_length_a 7.8889
_cell_length_b 7.8889
_cell_length_c 11.6107
_cell_angle_alpha 90.00
_cell_angle_beta 90.00
_cell_angle_gamma 90.00
_space_group_name_H-M_alt 'I -4 2 m'
_space_group_IT_number 121
_space_group_name_Hall 'I -4 2'
loop_
_atom_site_label
_atom_site_type_symbol
_atom_site_fract_x
_atom_site_fract_y
_atom_site_fract_z
_atom_site_occupancy
Rb1 Rb 0.0000 0.5000 0.2500 1
Ge1 Ge 0.0000 0.0000 0.0000 1
S1 S 0.1417 0.1417 0.1321 1
# energy relative to the lowest polymorph listed for this composition = 0.00 eV per formula unit
# raw formation energy = -0.4793 eV per atom
# V = 723 Å³/cell
# calculated total energy = -26.42 eV/f.u.